No. 1
Compound: Tb2Pm12Tm5
Source: Alexandria via LeMat-Bulk
Functional: PBE
Structure: optimized geometry

Properties
- crystal system = monoclinic

Lattice parameters (Å, degrees): 15.8293 9.2709 8.6763 90.00 91.55 90.00
Space group C2/m (No. 12)
One atom of each set of equivalent atoms:
1 Tb 0.0000 0.1719 0.0000 x4
2 Pm 0.0618 0.0000 0.3410 x4
3 Pm 0.0851 0.5000 0.8830 x4
4 Pm 0.1278 0.1957 0.6731 x8
5 Pm 0.1528 0.3184 0.2369 x8
6 Tm 0.0000 0.5000 0.5000 x2
7 Tm 0.2009 0.0000 0.0244 x4
8 Tm 0.2308 0.5000 0.5687 x4

---

No. 2
Compound: LiPm2CdAu4
Source: Alexandria via LeMat-Bulk
Functional: PBE
Structure: optimized geometry

Properties
- crystal system = trigonal

Lattice parameters (Å, degrees): 5.0571 5.0571 23.8201 90.00 90.00 120.00
Space group R-3m (No. 166, hexagonal axes)
One atom of each set of equivalent atoms:
1 Li 0.0000 0.0000 0.0000 x3
2 Pm 0.0000 0.0000 0.2470 x6
3 Cd 0.0000 0.0000 0.5000 x3
4 Au 0.0000 0.0000 0.1160 x6
5 Au 0.0000 0.0000 0.3742 x6

---

No. 3
Compound: Pm2Nd3Ho8
Source: Alexandria via LeMat-Bulk
Functional: PBE
Structure: optimized geometry

Properties
- crystal system = triclinic

Lattice parameters (Å, degrees): 6.1980 6.2078 11.3053 89.89 79.40 80.40
Space group P-1 (No. 2)
One atom of each set of equivalent atoms:
1 Pm 0.1156 0.2309 0.0380 x2
2 Nd 0.2691 0.5376 0.4219 x2
3 Nd 0.5000 0.0000 0.5000 x1
4 Ho 0.0371 0.0750 0.3443 x2
5 Ho 0.1923 0.3860 0.7327 x2
6 Ho 0.3465 0.6925 0.1147 x2
7 Ho 0.4239 0.8469 0.8090 x2

---

no.,spin magnetization (μB/atom),formation energy (eV/atom)
1,0.00,0.123
2,0.00,-0.668
3,0.00,0.019